(1)
## EuZrSb2 (PBE)

Data for crystalline EuZrSb2 at its relaxed geometry.

Properties
DOS at the Fermi energy	0.83	states/eV/atom
ΔE_f (raw)	-64.5	kJ per mole of atoms
M_tot	1.766	μB per atom
raw total energy	-29.74	eV per cell

a = 3.640 Å, b = 3.640 Å, c = 7.956 Å
α = 90.00°, β = 90.00°, γ = 90.00°
Fractional positions:
Eu (0.000, 0.000, 0.000)
Zr (0.000, 0.000, 0.500)
Sb (0.500, 0.500, 0.282)
Sb (0.500, 0.500, 0.718)

=====

(2)
## EuSc3 (PBE)

Data for crystalline EuSc3 at its relaxed geometry.

Properties
DOS at the Fermi energy	2.02	states/eV/atom
DFT formation energy	0.17	eV/atom
M_tot	1.761	μB per atom
raw total energy	-28.58	eV per cell

a = 5.809 Å, b = 5.809 Å, c = 5.809 Å
α = 131.28°, β = 131.28°, γ = 71.36°
Fractional positions:
Eu (0.000, 0.000, 0.000)
Sc (0.250, 0.750, 0.500)
Sc (0.500, 0.500, 0.000)
Sc (0.750, 0.250, 0.500)

=====

(3)
## EuSc5 (PBE)

Data for crystalline EuSc5 at its relaxed geometry.

Properties
DOS at the Fermi energy	1.65	states/eV/atom
DFT formation energy	0.15	eV/atom
M_tot	1.390	μB per atom
raw total energy	-41.05	eV per cell

a = 8.749 Å, b = 8.749 Å, c = 3.540 Å
α = 90.00°, β = 90.00°, γ = 144.19°
Fractional positions:
Eu (0.000, 0.000, 0.000)
Sc (0.187, 0.813, 0.500)
Sc (0.344, 0.656, 0.000)
Sc (0.500, 0.500, 0.500)
Sc (0.656, 0.344, 0.000)
Sc (0.813, 0.187, 0.500)

=====

(4)
## EuSc3 (PBE)

Data for crystalline EuSc3 at its relaxed geometry.

Properties
DOS at the Fermi energy	2.03	states/eV/atom
DFT formation energy	0.18	eV/atom
M_tot	1.708	μB per atom
raw total energy	-28.55	eV per cell

a = 4.768 Å, b = 4.768 Å, c = 4.768 Å
α = 90.00°, β = 90.00°, γ = 90.00°
Fractional positions:
Eu (0.000, 0.000, 0.000)
Sc (0.000, 0.500, 0.500)
Sc (0.500, 0.000, 0.500)
Sc (0.500, 0.500, 0.000)

=====

(5)
## Eu6Sc (PBE)

Data for crystalline Eu6Sc at its relaxed geometry.

Properties
DOS at the Fermi energy	1.97	states/eV/atom
DFT formation energy	1.26	eV/atom
M_tot	6.374	μB per atom
raw total energy	-59.18	eV per cell

a = 7.198 Å, b = 7.198 Å, c = 7.198 Å
α = 109.47°, β = 109.47°, γ = 109.47°
Fractional positions:
Eu (0.250, 0.500, 0.750)
Eu (0.250, 0.750, 0.500)
Eu (0.500, 0.250, 0.750)
Eu (0.500, 0.750, 0.250)
Eu (0.750, 0.250, 0.500)
Eu (0.750, 0.500, 0.250)
Sc (0.000, 0.000, 0.000)

=====

(6)
## Eu2Sc (PBE)

Data for crystalline Eu2Sc at its relaxed geometry.

Properties
DOS at the Fermi energy	1.30	states/eV/atom
DFT formation energy	0.17	eV/atom
M_tot	4.850	μB per atom
raw total energy	-26.37	eV per cell

a = 7.299 Å, b = 7.299 Å, c = 7.299 Å
α = 148.90°, β = 148.90°, γ = 44.56°
Fractional positions:
Eu (0.153, 0.153, 0.000)
Eu (0.847, 0.847, 0.000)
Sc (0.500, 0.500, 0.000)

=====

Question: What is the formula in the first record?
Answer: EuZrSb2